# TlHg4P

Crystalline TlHg4P at its relaxed geometry (PBE, the Alexandria database).

Cell and atoms, written as POSCAR:
```
TlHg4P
1.0
0.000 4.294 4.294
4.294 0.000 4.294
4.294 4.294 0.000
Tl Hg P
1 4 1
Direct
0.000 0.000 0.000
0.127 0.624 0.624
0.624 0.127 0.624
0.624 0.624 0.127
0.624 0.624 0.624
0.250 0.250 0.250
```

Summary:
Calculated volume in Å³ per atom: 26.38
Total DFT energy (no corrections) in eV/atom: -1.096
Formation energy in eV per atom: 0.40
DOS at the Fermi energy in states/eV/cell: 4.61



# Cu2ReRu

Crystalline Cu2ReRu at its relaxed geometry (PBE, the Alexandria database).

Cell and atoms, written as POSCAR:
```
Cu2ReRu
1.0
2.672 0.000 0.000
0.000 3.986 0.000
0.000 0.000 5.036
Cu Re Ru
2 1 1
Direct
0.000 0.000 0.248
0.000 0.000 0.752
0.500 0.500 0.000
0.500 0.500 0.500
```

Summary:
Calculated volume in Å³ per atom: 13.41
Total DFT energy (no corrections) in eV/atom: -7.107
Distance to the lowest polymorph of the same formula in kJ/mol of atoms: 23.1
Formation energy in eV per atom: 0.37
DOS at the Fermi energy in states/eV/cell: 4.08



# MgFeOs

Crystalline MgFeOs at its relaxed geometry (PBE, the Alexandria database).

Cell and atoms, written as POSCAR:
```
MgFeOs
1.0
4.204 0.000 0.000
0.000 4.204 0.000
0.000 0.000 5.805
Mg Fe Os
2 2 2
Direct
0.250 0.250 0.154
0.750 0.750 0.846
0.250 0.750 0.500
0.750 0.250 0.500
0.250 0.250 0.677
0.750 0.750 0.323
```

Summary:
Calculated volume in Å³ per atom: 17.10
Total DFT energy (no corrections) in eV/atom: -6.649
Distance to the lowest polymorph of the same formula in kJ/mol of atoms: 30.1
Formation energy in eV per atom: 0.45
DOS at the Fermi energy in states/eV/cell: 5.50



# KAlS2

Crystalline KAlS2 at its relaxed geometry (PBE, the Alexandria database).

Cell and atoms, written as POSCAR:
```
KAlS2
1.0
14.394 0.000 0.000
0.000 3.712 0.000
-4.749 0.000 7.720
K Al S
4 4 8
Direct
0.170 0.000 0.207
0.330 0.500 0.793
0.670 0.500 0.207
0.830 0.000 0.793
0.039 0.000 0.683
0.461 0.500 0.317
0.539 0.500 0.683
0.961 0.000 0.317
0.069 0.500 0.854
0.134 0.000 0.549
0.366 0.500 0.451
0.431 0.000 0.146
0.569 0.000 0.854
0.634 0.500 0.549
0.866 0.000 0.451
0.931 0.500 0.146
```

Summary:
Calculated volume in Å³ per atom: 25.78
Total DFT energy (no corrections) in eV/atom: -4.518
Formation energy from raw total energies in eV/atom: -1.24
DOS at the Fermi energy in states/eV/cell: 0.00



- Which formula does entry 4 have?
  KAlS2



- Which formula does entry 2 have?
  Cu2ReRu



- What is the DOS at the Fermi energy in the first record?
  4.61 states/eV/cell